Entry 1:
Entry from Alexandria: Bi6Pb5 after structural relaxation (PBE-GGA).

Lattice parameters (Å, degrees): 6.1792 6.9638 9.1382 70.69 87.66 87.94
Space group P-1 (No. 2)
One atom of each set of equivalent atoms:
Bi (0.0050, 0.2425, 0.0034) x2
Bi (0.3120, 0.4100, 0.6761) x2
Bi (0.3172, 0.9113, 0.6784) x2
Pb (0.1777, 0.3055, 0.3509) x2
Pb (0.1997, 0.8246, 0.3172) x2
Pb (0.5000, 0.5000, 0.0000) x1

Results
Its density of states at the Fermi level is 5.61 states/eV/cell. The calculation puts the volume at 371 Å³/cell. Its total moment is 0.00 μB per formula unit. Its calculated formation energy is 0.056 eV/atom. The calculation puts the electronic total energy at -3.747 eV/atom.

=====

Entry 2:
Entry from Alexandria: BiPb3 after structural relaxation (PBE-GGA).

Lattice parameters (Å, degrees): 7.9267 7.9267 7.9267 90.00 90.00 90.00
Space group Fm-3m (No. 225)
One atom of each set of equivalent atoms:
Bi (0.0000, 0.0000, 0.0000) x4
Pb (0.0000, 0.0000, 0.5000) x4
Pb (0.2500, 0.2500, 0.2500) x8

Results
Its density of states at the Fermi level is 5.92 states/eV/cell. The calculation puts the volume at 498 Å³/cell. Its total moment is 0.00 μB per formula unit. Its calculated formation energy is 0.043 eV/atom. The calculation puts the electronic total energy at -3.708 eV/atom.